SrHCI2 | the Alexandria database | PBE-GGA | optimized geometry; final energy = -2.471 eV per atom
1.0
6.418 0.000 0.000
0.000 6.418 0.000
0.000 0.000 4.465
Sr H C I
1 1 1 2
Direct
0.000 0.000 0.000
0.000 0.000 0.500
0.500 0.500 0.500
0.000 0.500 0.000
0.500 0.000 0.000